Entry from Alexandria via LeMat-Bulk: Ba4Cl6O at its PBEsol-relaxed geometry (SCAN).

a b c (Å): 7.5076 9.9469 9.9469
angles (deg): 120.00 90.00 90.00
Last column: nearest neighbours and their distance in Å.
Positions (direct):
1 Ba 0.5678 0.6667 0.3333  1 O 2.52
2 Ba 0.0678 0.3333 0.6667  1 O 2.52
3 Ba 0.0060 0.3904 0.1952  1 O 2.50
4 Ba 0.5060 0.1952 0.8048  1 O 2.50
5 Ba 0.5060 0.1952 0.3904  1 O 2.50
6 Ba 0.0060 0.8048 0.6096  1 O 2.50
7 Ba 0.0060 0.8048 0.1952  1 O 2.50
8 Ba 0.5060 0.6096 0.8048  1 O 2.50
9 Cl 0.2890 0.5291 0.4709  5 Ba 3.16-3.42, 1 O 3.48
10 Cl 0.7890 0.4709 0.9419  5 Ba 3.16-3.42, 1 O 3.48
11 Cl 0.7890 0.0581 0.5291  5 Ba 3.16-3.42, 1 O 3.48
12 Cl 0.2890 0.9419 0.4709  5 Ba 3.16-3.42, 1 O 3.48
13 Cl 0.2890 0.5291 0.0581  5 Ba 3.16-3.42, 1 O 3.48
14 Cl 0.7890 0.4709 0.5291  5 Ba 3.16-3.42, 1 O 3.48
15 Cl 0.1063 0.7070 0.8535  4 Ba 3.12-3.23
16 Cl 0.6063 0.8535 0.1465  4 Ba 3.12-3.23
17 Cl 0.6063 0.8535 0.7070  4 Ba 3.12-3.23
18 Cl 0.1063 0.1465 0.2930  4 Ba 3.12-3.23
19 Cl 0.1063 0.1465 0.8535  4 Ba 3.12-3.23
20 Cl 0.6063 0.2930 0.1465  4 Ba 3.12-3.23
21 O 0.9032 0.6667 0.3333  4 Ba 2.50-2.52
22 O 0.4032 0.3333 0.6667  4 Ba 2.50-2.52

Calculated values
Formation energy from raw total energies   -2.88 eV per atom
N(E_F)   0.00 states/eV per cell
Space-group type   P6_3mc
Crystal system   hexagonal



Entry from Alexandria via LeMat-Bulk: Ba2ClO at its PBEsol-relaxed geometry (SCAN).

a b c (Å): 5.0323 5.0323 5.0323
angles (deg): 60.00 60.00 60.00
Last column: nearest neighbours and their distance in Å.
Positions (direct):
1 Ba 0.2500 0.2500 0.2500  4 O 3.08, 4 Cl 3.08
2 Ba 0.7500 0.7500 0.7500  4 O 3.08, 4 Cl 3.08
3 O 0.0000 0.0000 0.0000  8 Ba 3.08
4 Cl 0.5000 0.5000 0.5000  8 Ba 3.08

Calculated values
Formation energy from raw total energies   -1.91 eV per atom
N(E_F)   1.37 states/eV per cell
Space-group type   Fm-3m
Crystal system   cubic



Entry from Alexandria via LeMat-Bulk: Ba4Os6ClO18 at its PBEsol-relaxed geometry (SCAN).

a b c (Å): 8.1086 8.1086 8.1086
angles (deg): 109.47 109.47 109.47
Last column: nearest neighbours and their distance in Å.
Positions (direct):
1 Ba 0.0000 0.0000 0.3708  9 O 2.66-2.86
2 Ba 0.0000 0.3708 0.0000  9 O 2.66-2.86
3 Ba 0.3708 0.0000 0.0000  9 O 2.66-2.86
4 Ba 0.6292 0.6292 0.6292  9 O 2.66-2.86
5 Os 0.5000 0.3658 0.8658  6 O 1.97-1.98
6 Os 0.5000 0.6342 0.1342  6 O 1.97-1.98
7 Os 0.6342 0.1342 0.5000  6 O 1.97-1.98
8 Os 0.3658 0.8658 0.5000  6 O 1.97-1.98
9 Os 0.1342 0.5000 0.6342  6 O 1.97-1.98
10 Os 0.8658 0.5000 0.3658  6 O 1.97-1.98
11 Cl 0.0000 0.0000 0.0000  4 Ba 3.01, 6 O 3.15
12 O 0.3037 0.3728 0.6500  2 Os 1.97
13 O 0.3462 0.0690 0.6963  2 Os 1.97
14 O 0.7228 0.6538 0.3500  2 Os 1.97
15 O 0.3500 0.7228 0.6538  2 Os 1.97
16 O 0.6500 0.3037 0.3728  2 Os 1.97
17 O 0.0690 0.6963 0.3462  2 Os 1.97
18 O 0.9310 0.2772 0.6272  2 Os 1.97
19 O 0.0000 0.6630 0.6630  2 Os 1.98
20 O 0.3370 0.3370 0.0000  2 Os 1.98
21 O 0.2772 0.6272 0.9310  2 Os 1.97
22 O 0.6538 0.3500 0.7228  2 Os 1.97
23 O 0.3370 0.0000 0.3370  2 Os 1.98
24 O 0.0000 0.3370 0.3370  2 Os 1.98
25 O 0.3728 0.6500 0.3037  2 Os 1.97
26 O 0.6272 0.9310 0.2772  2 Os 1.97
27 O 0.6963 0.3462 0.0690  2 Os 1.97
28 O 0.6630 0.0000 0.6630  2 Os 1.98
29 O 0.6630 0.6630 0.0000  2 Os 1.98

Calculated values
Formation energy from raw total energies   -1.76 eV per atom
N(E_F)   7.84 states/eV per cell
Space-group type   I23
Crystal system   cubic



Entry from Alexandria via LeMat-Bulk: Ba3P3ClO10 at its PBEsol-relaxed geometry (SCAN).

a b c (Å): 5.5724 14.1914 14.2407
angles (deg): 90.00 90.00 90.00
Last column: nearest neighbours and their distance in Å.
Positions (direct):
1 Ba 0.9870 0.6710 0.9432  7 O 2.68-2.98
2 Ba 0.0130 0.1710 0.0568  7 O 2.68-2.98
3 Ba 0.9870 0.1710 0.5568  7 O 2.68-2.98
4 Ba 0.0130 0.6710 0.4432  7 O 2.68-2.98
5 Ba 0.9986 0.4570 0.2044  7 O 2.74-2.98
6 Ba 0.0014 0.9570 0.7956  7 O 2.74-2.98
7 Ba 0.9986 0.9570 0.2956  7 O 2.74-2.98
8 Ba 0.0014 0.4570 0.7044  7 O 2.74-2.98
9 Ba 0.4998 0.7435 0.1837  6 O 2.72-2.99
10 Ba 0.5002 0.2435 0.8163  6 O 2.72-2.99
11 Ba 0.4998 0.2435 0.3163  6 O 2.72-2.99
12 Ba 0.5002 0.7435 0.6837  6 O 2.72-2.99
13 P 0.5149 0.3096 0.0849  4 O 1.52-1.62
14 P 0.4851 0.8096 0.9151  4 O 1.52-1.62
15 P 0.5149 0.8096 0.4151  4 O 1.52-1.62
16 P 0.4851 0.3096 0.5849  4 O 1.52-1.62
17 P 0.5012 0.5179 0.0352  4 O 1.51-1.59
18 P 0.4988 0.0179 0.9648  4 O 1.51-1.59
19 P 0.5012 0.0179 0.4648  4 O 1.51-1.59
20 P 0.4988 0.5179 0.5352  4 O 1.51-1.59
21 P 0.5096 0.5394 0.8224  4 O 1.52-1.65
22 P 0.4904 0.0394 0.1776  4 O 1.52-1.65
23 P 0.5096 0.0394 0.6776  4 O 1.52-1.65
24 P 0.4904 0.5394 0.3224  4 O 1.52-1.65
25 Cl 0.9967 0.8087 0.1210  4 Ba 3.05-3.26
26 Cl 0.0033 0.3087 0.8790  4 Ba 3.05-3.26
27 Cl 0.9967 0.3087 0.3790  4 Ba 3.05-3.26
28 Cl 0.0033 0.8087 0.6210  4 Ba 3.05-3.26
29 O 0.5182 0.4371 0.7914  1 P 1.52
30 O 0.4818 0.9371 0.2086  1 P 1.52
31 O 0.5182 0.9371 0.7086  1 P 1.52
32 O 0.4818 0.4371 0.2914  1 P 1.52
33 O 0.2391 0.5390 0.0505  1 P 1.51
34 O 0.7609 0.0390 0.9495  1 P 1.51
35 O 0.2391 0.0390 0.4495  1 P 1.51
36 O 0.7609 0.5390 0.5505  1 P 1.51
37 O 0.5188 0.2348 0.0082  1 P 1.52
38 O 0.4812 0.7348 0.9918  1 P 1.52
39 O 0.5188 0.7348 0.4918  1 P 1.52
40 O 0.4812 0.2348 0.5082  1 P 1.52
41 O 0.7101 0.5992 0.7789  1 P 1.53
42 O 0.2899 0.0992 0.2211  1 P 1.53
43 O 0.7101 0.0992 0.7211  1 P 1.53
44 O 0.2899 0.5992 0.2789  1 P 1.53
45 O 0.2784 0.3124 0.1391  1 P 1.53
46 O 0.7216 0.8124 0.8609  1 P 1.53
47 O 0.2784 0.8124 0.3609  1 P 1.53
48 O 0.7216 0.3124 0.6391  1 P 1.53
49 O 0.2606 0.5832 0.8157  1 P 1.52
50 O 0.7394 0.0832 0.1843  1 P 1.52
51 O 0.2606 0.0832 0.6843  1 P 1.52
52 O 0.7394 0.5832 0.3157  1 P 1.52
53 O 0.7336 0.3034 0.1498  1 P 1.53
54 O 0.2664 0.8034 0.8502  1 P 1.53
55 O 0.7336 0.8034 0.3502  1 P 1.53
56 O 0.2664 0.3034 0.6498  1 P 1.53
57 O 0.5930 0.5463 0.9331  2 P 1.59-1.65
58 O 0.4070 0.0463 0.0669  2 P 1.59-1.65
59 O 0.5930 0.0463 0.5669  2 P 1.59-1.65
60 O 0.4070 0.5463 0.4331  2 P 1.59-1.65
61 O 0.5448 0.4077 0.0275  2 P 1.59-1.62
62 O 0.4552 0.9077 0.9725  2 P 1.59-1.62
63 O 0.5448 0.9077 0.4725  2 P 1.59-1.62
64 O 0.4552 0.4077 0.5275  2 P 1.59-1.62
65 O 0.6795 0.5631 0.1013  1 P 1.51
66 O 0.3205 0.0631 0.8987  1 P 1.51
67 O 0.6795 0.0631 0.3987  1 P 1.51
68 O 0.3205 0.5631 0.6013  1 P 1.51

Calculated values
Formation energy from raw total energies   -2.98 eV per atom
N(E_F)   0.00 states/eV per cell
Space-group type   Pca2_1
Crystal system   orthorhombic



Entry from Alexandria via LeMat-Bulk: Ba4SrRe3ClO15 at its PBEsol-relaxed geometry (SCAN).

a b c (Å): 7.7287 10.7867 10.7867
angles (deg): 120.00 90.00 90.00
Last column: nearest neighbours and their distance in Å.
Positions (direct):
1 Ba 0.2407 0.2617 0.2617  7 O 2.71-2.96
2 Ba 0.2407 0.7383 0.0000  7 O 2.71-2.96
3 Ba 0.2407 0.0000 0.7383  7 O 2.71-2.96
4 Ba 0.7420 0.7407 0.7407  7 O 2.71-2.92
5 Ba 0.7420 0.2593 0.0000  7 O 2.71-2.92
6 Ba 0.7420 0.0000 0.2593  7 O 2.71-2.92
7 Ba 0.4987 0.6667 0.3333  9 O 2.71-2.78
8 Ba 0.4987 0.3333 0.6667  9 O 2.71-2.78
9 Sr 0.9952 0.3333 0.6667  9 O 2.58-2.67
10 Sr 0.9952 0.6667 0.3333  9 O 2.58-2.67
11 Re 0.8031 0.3954 0.3954  5 O 1.76-1.86
12 Re 0.8031 0.6046 0.0000  5 O 1.76-1.86
13 Re 0.8031 0.0000 0.6046  5 O 1.76-1.86
14 Re 0.2886 0.6133 0.6133  5 O 1.75-1.85
15 Re 0.2886 0.3867 0.0000  5 O 1.75-1.85
16 Re 0.2886 0.0000 0.3867  5 O 1.75-1.85
17 Cl 0.9573 0.0000 0.0000  6 Ba 3.25-3.57, 3 O 3.26
18 Cl 0.4627 0.0000 0.0000  6 Ba 3.30-3.53, 3 O 3.45
19 O 0.9443 0.3934 0.2577  1 Re 1.83
20 O 0.9443 0.7423 0.1357  1 Re 1.83
21 O 0.9443 0.8643 0.6066  1 Re 1.83
22 O 0.9443 0.2577 0.3934  1 Re 1.83
23 O 0.9443 0.1357 0.7423  1 Re 1.83
24 O 0.9443 0.6066 0.8643  1 Re 1.83
25 O 0.4386 0.6101 0.7443  1 Re 1.84
26 O 0.4386 0.2557 0.8658  1 Re 1.84
27 O 0.4386 0.1342 0.3899  1 Re 1.84
28 O 0.4386 0.7443 0.6101  1 Re 1.84
29 O 0.4386 0.8658 0.2557  1 Re 1.84
30 O 0.4386 0.3899 0.1342  1 Re 1.84
31 O 0.7645 0.5861 0.4516  1 Re 1.86
32 O 0.7645 0.5484 0.1345  1 Re 1.86
33 O 0.7645 0.8655 0.4139  1 Re 1.86
34 O 0.7645 0.4516 0.5861  1 Re 1.86
35 O 0.7645 0.1345 0.5484  1 Re 1.86
36 O 0.7645 0.4139 0.8655  1 Re 1.86
37 O 0.2387 0.4255 0.5601  1 Re 1.85
38 O 0.2387 0.4399 0.8654  1 Re 1.85
39 O 0.2387 0.1346 0.5745  1 Re 1.85
40 O 0.2387 0.5601 0.4255  1 Re 1.85
41 O 0.2387 0.8654 0.4399  1 Re 1.85
42 O 0.2387 0.5745 0.1346  1 Re 1.85
43 O 0.6198 0.2990 0.2990  1 Re 1.76
44 O 0.6198 0.7010 0.0000  1 Re 1.76
45 O 0.6198 0.0000 0.7010  1 Re 1.76
46 O 0.1190 0.7213 0.7213  1 Re 1.75
47 O 0.1190 0.2787 0.0000  1 Re 1.75
48 O 0.1190 0.0000 0.2787  1 Re 1.75

Calculated values
Formation energy from raw total energies   -2.51 eV per atom
N(E_F)   0.00 states/eV per cell
Space-group type   P31m
Crystal system   trigonal



Entry from Alexandria via LeMat-Bulk: Ba5Ru2Cl2O9 at its PBEsol-relaxed geometry (SCAN).

a b c (Å): 5.8061 5.8061 24.9352
angles (deg): 90.00 90.00 120.00
Last column: nearest neighbours and their distance in Å.
Positions (direct):
1 Ba 0.6667 0.3333 0.6707  9 O 2.70-2.93
2 Ba 0.3333 0.6667 0.3293  9 O 2.70-2.93
3 Ba 0.3333 0.6667 0.9184  3 O 2.54
4 Ba 0.3333 0.6667 0.1707  9 O 2.70-2.93
5 Ba 0.3333 0.6667 0.5816  3 O 2.54
6 Ba 0.6667 0.3333 0.4184  3 O 2.54
7 Ba 0.6667 0.3333 0.0816  3 O 2.54
8 Ba 0.6667 0.3333 0.8293  9 O 2.70-2.93
9 Ba 0.6667 0.3333 0.2500  12 O 2.91-2.92
10 Ba 0.3333 0.6667 0.7500  12 O 2.91-2.92
11 Ru 0.0000 0.0000 0.6939  6 O 1.87-2.07
12 Ru 0.0000 0.0000 0.1939  6 O 1.87-2.07
13 Ru 0.0000 0.0000 0.3061  6 O 1.87-2.07
14 Ru 0.0000 0.0000 0.8061  6 O 1.87-2.07
15 Cl 0.6667 0.3333 0.9541  5 Ba 3.11-3.47
16 Cl 0.3333 0.6667 0.0459  5 Ba 3.11-3.47
17 Cl 0.3333 0.6667 0.4541  5 Ba 3.11-3.47
18 Cl 0.6667 0.3333 0.5459  5 Ba 3.11-3.47
19 O 0.6977 0.8488 0.2500  2 Ru 2.07
20 O 0.1606 0.8394 0.6557  1 Ru 1.87
21 O 0.8394 0.1606 0.3443  1 Ru 1.87
22 O 0.3211 0.1606 0.3443  1 Ru 1.87
23 O 0.6789 0.8394 0.6557  1 Ru 1.87
24 O 0.3211 0.1606 0.1557  1 Ru 1.87
25 O 0.1512 0.3023 0.2500  2 Ru 2.07
26 O 0.8488 0.1512 0.7500  2 Ru 2.07
27 O 0.1606 0.3211 0.8443  1 Ru 1.87
28 O 0.8394 0.6789 0.1557  1 Ru 1.87
29 O 0.3023 0.1512 0.7500  2 Ru 2.07
30 O 0.8394 0.1606 0.1557  1 Ru 1.87
31 O 0.1606 0.3211 0.6557  1 Ru 1.87
32 O 0.6789 0.8394 0.8443  1 Ru 1.87
33 O 0.1606 0.8394 0.8443  1 Ru 1.87
34 O 0.8488 0.6977 0.7500  2 Ru 2.07
35 O 0.1512 0.8488 0.2500  2 Ru 2.07
36 O 0.8394 0.6789 0.3443  1 Ru 1.87

Calculated values
Formation energy from raw total energies   -2.38 eV per atom
Space-group type   P6_3/mmc
Crystal system   hexagonal



Entry from Alexandria via LeMat-Bulk: Ba6Ru3Cl2O12 at its PBEsol-relaxed geometry (SCAN).

a b c (Å): 5.7960 5.7960 14.8773
angles (deg): 90.00 90.00 120.00
Last column: nearest neighbours and their distance in Å.
Positions (direct):
1 Ba 0.3333 0.6667 0.3626  3 O 2.54
2 Ba 0.6667 0.3333 0.6374  3 O 2.54
3 Ba 0.6667 0.3333 0.2150  9 O 2.66-2.92
4 Ba 0.3333 0.6667 0.0807  12 O 2.90-3.01
5 Ba 0.6667 0.3333 0.9193  12 O 2.90-3.01
6 Ba 0.3333 0.6667 0.7850  9 O 2.66-2.92
7 Ru 0.0000 0.0000 0.8276  6 O 1.88-2.06
8 Ru 0.0000 0.0000 0.0000  6 O 1.98
9 Ru 0.0000 0.0000 0.1724  6 O 1.88-2.06
10 Cl 0.6667 0.3333 0.4238  5 Ba 3.11-3.47
11 Cl 0.3333 0.6667 0.5762  5 Ba 3.11-3.47
12 O 0.1596 0.3193 0.2386  1 Ru 1.88
13 O 0.8443 0.1557 0.0819  2 Ru 1.98-2.06
14 O 0.1557 0.3113 0.9181  2 Ru 1.98-2.06
15 O 0.8443 0.6887 0.0819  2 Ru 1.98-2.06
16 O 0.1557 0.8443 0.9181  2 Ru 1.98-2.06
17 O 0.3113 0.1557 0.0819  2 Ru 1.98-2.06
18 O 0.6807 0.8404 0.2386  1 Ru 1.88
19 O 0.6887 0.8443 0.9181  2 Ru 1.98-2.06
20 O 0.3193 0.1596 0.7614  1 Ru 1.88
21 O 0.8404 0.6807 0.7614  1 Ru 1.88
22 O 0.8404 0.1596 0.7614  1 Ru 1.88
23 O 0.1596 0.8404 0.2386  1 Ru 1.88

Calculated values
Formation energy from raw total energies   -2.29 eV per atom
N(E_F)   5.51 states/eV per cell
Space-group type   P-3m1
Crystal system   trigonal



Entry from Alexandria via LeMat-Bulk: Ba7Ru4Cl2O15 at its PBEsol-relaxed geometry (SCAN).

a b c (Å): 5.7689 5.7689 17.4498
angles (deg): 80.49 80.49 60.00
Last column: nearest neighbours and their distance in Å.
Positions (direct):
1 Ba 0.2863 0.2863 0.1411  12 O 2.84-2.94
2 Ba 0.9160 0.9160 0.2519  9 O 2.68-2.91
3 Ba 0.7936 0.7936 0.6192  3 O 2.54
4 Ba 0.0840 0.0840 0.7481  9 O 2.68-2.91
5 Ba 0.7137 0.7137 0.8589  12 O 2.84-2.94
6 Ba 0.0000 0.0000 0.0000  12 O 2.88-2.92
7 Ba 0.2064 0.2064 0.3808  3 O 2.54
8 Ru 0.5954 0.5954 0.2138  6 O 1.89-2.06
9 Ru 0.3542 0.3542 0.9373  6 O 1.98
10 Ru 0.4046 0.4046 0.7862  6 O 1.89-2.06
11 Ru 0.6458 0.6458 0.0627  6 O 1.98
12 Cl 0.1445 0.1445 0.5666  5 Ba 3.11-3.45
13 Cl 0.8555 0.8555 0.4334  5 Ba 3.11-3.45
14 O 0.2232 0.6886 0.8651  2 Ru 1.98-2.06
15 O 0.8954 0.4161 0.2724  1 Ru 1.89
16 O 0.5839 0.1046 0.7276  1 Ru 1.89
17 O 0.4161 0.4161 0.2724  1 Ru 1.89
18 O 0.1046 0.5839 0.7276  1 Ru 1.89
19 O 0.7768 0.3114 0.1349  2 Ru 1.98-2.06
20 O 0.4161 0.8954 0.2724  1 Ru 1.89
21 O 0.5000 0.5000 0.0000  2 Ru 1.98
22 O 0.7768 0.7768 0.1349  2 Ru 1.98-2.06
23 O 0.2232 0.2232 0.8651  2 Ru 1.98-2.06
24 O 0.3114 0.7768 0.1349  2 Ru 1.98-2.06
25 O 0.5839 0.5839 0.7276  1 Ru 1.89
26 O 0.6886 0.2232 0.8651  2 Ru 1.98-2.06
27 O 0.5000 0.0000 0.0000  2 Ru 1.98
28 O 0.0000 0.5000 0.0000  2 Ru 1.98

Calculated values
Formation energy from raw total energies   -2.26 eV per atom
N(E_F)   2.12 states/eV per cell
Space-group type   R-3m
Crystal system   trigonal



Number 1: total magnetic moment 0.010 μB/atom. Number 2: total magnetic moment 0.000 μB/atom. Number 3: total magnetic moment 0.111 μB/atom. Number 4: total magnetic moment 0.000 μB/atom. Number 5: total magnetic moment 0.000 μB/atom. Number 6: total magnetic moment 0.333 μB/atom. Number 7: total magnetic moment 0.175 μB/atom. Number 8: total magnetic moment 0.073 μB/atom.